Crystalline NaGaOs3 at its relaxed geometry, computed with PBE-GGA.

Properties
ΔH_f (0 K) = 14.79 eV/f.u.
ΔE to the lowest computed polymorph = 505 kJ/mol of formula units
Total magnetic moment = 3.73 μB/f.u.
Crystal system = cubic
Volume = 18.11 Å³/atom
DFT total energy = -23.24 eV per cell

abc: 4.4903 4.4903 4.4903
angles: 90.00 90.00 90.00
Space group Pm-3m (No. 221)
Asymmetric unit:
Na 0.0000 0.0000 0.0000
Ga 0.5000 0.5000 0.5000
Os 0.0000 0.0000 0.5000

---

Crystalline CoRe2W at its relaxed geometry, computed with PBE-GGA.

Properties
ΔH_f (0 K) = 0.67 eV/f.u.
ΔE to the lowest computed polymorph = 47 kJ/mol of formula units
Total magnetic moment = 0.50 μB/f.u.
Crystal system = orthorhombic
Volume = 14.38 Å³/atom
DFT total energy = -44.29 eV per cell

abc: 2.7094 3.7935 5.5965
angles: 90.00 90.00 90.00
Space group Pmmm (No. 47)
Asymmetric unit:
Co 0.0000 0.0000 0.0000
Re 0.5000 0.5000 0.2261
W 0.0000 0.0000 0.5000